[1]
A plane-wave DFT calculation with PBE was carried out for an optimized crystal structure of Ag3C.

Values from the calculation:
Its energy above the most stable polymorph in this dataset is 825 meV/atom. As for the energy relative to the elements: 1.38 eV per atom.

Cell lengths 4.470, 4.470, 4.470 Å; angles 60.00, 60.00, 60.00 degrees
Positions (direct):
Ag: 0.000 0.000 0.000
Ag: 0.500 0.500 0.500
C: 0.250 0.250 0.250
Ag: 0.750 0.750 0.750

[2]
A plane-wave DFT calculation with PBE was carried out for an optimized crystal structure of K2CdNi2.

Values from the calculation:
Its energy above the most stable polymorph in this dataset is 0 meV/atom. As for the energy relative to the elements: 0.39 eV per atom.

Cell lengths 3.370, 3.370, 11.726 Å; angles 81.74, 81.74, 90.00 degrees
Positions (direct):
Ni: 0.750 0.250 0.500
Ni: 0.250 0.750 0.500
K: 0.372 0.372 0.257
K: 0.628 0.628 0.743
Cd: 0.000 0.000 0.000

[3]
A plane-wave DFT calculation with PBE was carried out for an optimized crystal structure of RbGaSn.

Values from the calculation:
As for the energy relative to the elements: -0.17 eV per atom.

Cell lengths 8.828, 5.075, 8.085 Å; angles 90.00, 90.00, 90.00 degrees
Positions (direct):
Sn: 0.334 0.250 0.404
Rb: 0.510 0.750 0.163
Rb: 0.990 0.250 0.663
Ga: 0.340 0.750 0.591
Rb: 0.010 0.750 0.337
Sn: 0.834 0.250 0.096
Ga: 0.840 0.750 0.909
Ga: 0.160 0.250 0.091
Sn: 0.166 0.750 0.904
Ga: 0.660 0.250 0.409
Rb: 0.490 0.250 0.837
Sn: 0.666 0.750 0.596

[4]
A plane-wave DFT calculation with PBE was carried out for an optimized crystal structure of InCo2Br.

Values from the calculation:
Its energy above the most stable polymorph in this dataset is 17 meV/atom. The raw formation energy comes out at 0.272 eV/atom.

Cell lengths 4.949, 4.949, 7.625 Å; angles 51.25, 51.25, 38.38 degrees
Positions (direct):
Br: 0.750 0.750 0.750
Co: 0.050 0.050 0.117
In: 0.250 0.250 0.250
Co: 0.450 0.450 0.383

[5]
A plane-wave DFT calculation with PBE was carried out for an optimized crystal structure of SbAs2Br8.

Values from the calculation:
The raw formation energy comes out at -0.302 eV/atom.

Cell lengths 7.188, 8.480, 8.480 Å; angles 65.20, 94.67, 94.67 degrees
Positions (direct):
Sb: 0.000 0.000 0.000
Br: 0.845 0.332 0.886
Br: 0.155 0.668 0.114
Br: 0.647 0.372 0.372
As: 0.294 0.791 0.791
Br: 0.613 0.864 0.864
Br: 0.155 0.114 0.668
Br: 0.845 0.886 0.332
Br: 0.387 0.136 0.136
As: 0.706 0.209 0.209
Br: 0.353 0.628 0.628

[6]
A plane-wave DFT calculation with PBE was carried out for an optimized crystal structure of RbIr3Au.

Values from the calculation:
Its energy above the most stable polymorph in this dataset is 0 meV/atom. As for the energy relative to the elements: 1.94 eV per atom.

Cell lengths 5.039, 5.039, 5.039 Å; angles 90.00, 90.00, 90.00 degrees
Positions (direct):
Ir: 0.500 0.000 0.000
Au: 0.000 0.000 0.000
Ir: 0.000 0.500 0.000
Rb: 0.500 0.500 0.500
Ir: 0.000 0.000 0.500